A) This record from Alexandria describes crystalline TcNiPd2 at its relaxed geometry. The functional is PBE.

a b c (Å): 4.3246 4.3246 4.3246
angles (deg): 60.00 60.00 60.00
With the nearest neighbours (Å) after each atom.
Element x y z (fractional)
1 Pd 0.2500 0.2500 0.2500  4 Tc 2.65, 4 Ni 2.65
2 Pd 0.7500 0.7500 0.7500  4 Tc 2.65, 4 Ni 2.65
3 Ni 0.0000 0.0000 0.0000  8 Pd 2.65
4 Tc 0.5000 0.5000 0.5000  8 Pd 2.65

Results
Symmetry   Fm-3m, No. 225
Size of the total moment   0.0 μB per cell



B) This record from Alexandria describes crystalline TcNiPd2 at its relaxed geometry. The functional is PBE.

a b c (Å): 2.7425 2.7425 8.8490
angles (deg): 81.09 81.09 60.00
With the nearest neighbours (Å) after each atom.
Element x y z (fractional)
1 Ni 0.6665 0.6665 0.0004  6 Pd 2.65-2.66, 6 Ni 2.74
2 Tc 0.5001 0.5001 0.4997  6 Pd 2.73, 6 Tc 2.74
3 Pd 0.0817 0.0817 0.7550  3 Ni 2.66, 3 Tc 2.73, 6 Pd 2.74
4 Pd 0.2517 0.2517 0.2449  3 Ni 2.65, 3 Tc 2.73, 6 Pd 2.74

Results
Symmetry   R3m, No. 160
Size of the total moment   0.9 μB per cell



C) This record from Alexandria describes crystalline TcNiPd2 at its relaxed geometry. The functional is PBE.

a b c (Å): 6.8726 6.8726 5.5237
angles (deg): 51.53 51.53 90.00
With the nearest neighbours (Å) after each atom.
Element x y z (fractional)
1 Pd 0.3750 0.3871 0.7500  2 Ni 2.46, 2 Tc 2.57, 2 Pd 2.63
2 Pd 0.1371 0.6250 0.2500  2 Ni 2.46, 2 Tc 2.57, 2 Pd 2.63
3 Pd 0.6129 0.1250 0.2500  2 Ni 2.46, 2 Tc 2.57, 2 Pd 2.63
4 Pd 0.8750 0.8629 0.7500  2 Ni 2.46, 2 Tc 2.57, 2 Pd 2.63
5 Ni 0.2500 0.7500 0.5000  4 Pd 2.46, 2 Tc 2.63
6 Ni 0.5000 0.5000 0.0000  4 Pd 2.46, 2 Tc 2.63
7 Tc 0.7500 0.2500 0.5000  4 Pd 2.57, 2 Ni 2.63
8 Tc 0.0000 0.0000 0.0000  4 Pd 2.57, 2 Ni 2.63

Results
Symmetry   I-42d, No. 122
Size of the total moment   4.7 μB per cell



Stability check: which of them is least stable? C).



A) This record from Alexandria describes crystalline Th2NiPd at its relaxed geometry. The functional is PBE.

a b c (Å): 5.0563 5.0563 5.0563
angles (deg): 60.00 60.00 60.00
With the nearest neighbours (Å) after each atom.
Element x y z (fractional)
1 Ni 0.5000 0.5000 0.5000  8 Th 3.10
2 Pd 0.0000 0.0000 0.0000  8 Th 3.10
3 Th 0.2500 0.2500 0.2500  4 Ni 3.10, 4 Pd 3.10
4 Th 0.7500 0.7500 0.7500  4 Pd 3.10, 4 Ni 3.10

Results
Symmetry   Fm-3m, No. 225
Size of the total moment   0.0 μB per cell



B) This record from Alexandria describes crystalline Th2NiPd at its relaxed geometry. The functional is PBE.

a b c (Å): 4.4089 5.9353 7.6574
angles (deg): 111.18 90.00 90.00
With the nearest neighbours (Å) after each atom.
Element x y z (fractional)
1 Th 0.2500 0.7839 0.5653  4 Ni 2.95-3.27, 3 Pd 3.02-3.05
2 Th 0.2500 0.7689 0.0740  3 Ni 2.94-3.07, 4 Pd 3.00-3.13
3 Th 0.7500 0.2311 0.9260  3 Ni 2.94-3.07, 4 Pd 3.00-3.13
4 Th 0.7500 0.2161 0.4347  4 Ni 2.95-3.27, 3 Pd 3.02-3.05
5 Pd 0.7500 0.6683 0.7896  2 Ni 2.90, 7 Th 3.00-3.13
6 Pd 0.2500 0.3317 0.2104  2 Ni 2.90, 7 Th 3.00-3.13
7 Ni 0.2500 0.3280 0.7082  2 Pd 2.90, 6 Th 2.94-3.07
8 Ni 0.7500 0.6720 0.2918  2 Pd 2.90, 6 Th 2.94-3.07

Results
Symmetry   P2_1/m, No. 11
Size of the total moment   0.0 μB per cell



C) This record from Alexandria describes crystalline Th2NiPd at its relaxed geometry. The functional is PBE.

a b c (Å): 3.7121 3.7121 9.1699
angles (deg): 78.32 78.32 60.00
With the nearest neighbours (Å) after each atom.
Element x y z (fractional)
1 Ni 0.5000 0.5000 0.5000  6 Th 2.77
2 Th 0.1012 0.1012 0.6964  1 Pd 2.71, 3 Ni 2.77
3 Th 0.8988 0.8988 0.3036  1 Pd 2.71, 3 Ni 2.77
4 Pd 0.0000 0.0000 0.0000  2 Th 2.71

Results
Symmetry   R-3m, No. 166
Size of the total moment   0.0 μB per cell



D) This record from Alexandria describes crystalline Th2NiPd at its relaxed geometry. The functional is PBE.

a b c (Å): 3.5654 3.5654 7.1236
angles (deg): 90.00 90.00 90.00
With the nearest neighbours (Å) after each atom.
Element x y z (fractional)
1 Ni 0.5000 0.5000 0.0000  8 Th 3.02
2 Th 0.0000 0.0000 0.7656  4 Ni 3.02, 4 Pd 3.15, 1 Th 3.34
3 Th 0.0000 0.0000 0.2344  4 Ni 3.02, 4 Pd 3.15, 1 Th 3.34
4 Pd 0.5000 0.5000 0.5000  8 Th 3.15

Results
Symmetry   P4/mmm, No. 123
Size of the total moment   0.0 μB per cell



Stability check: which of them is least stable? C).



A) This record from Alexandria describes crystalline Th4NiPd at its relaxed geometry. The functional is PBE.

a b c (Å): 5.9561 7.2089 7.2089
angles (deg): 90.00 90.00 90.00
With the nearest neighbours (Å) after each atom.
Element x y z (fractional)
1 Th 0.0000 0.8276 0.3411  2 Ni 3.02, 2 Pd 3.13, 1 Th 3.38
2 Th 0.0000 0.6589 0.8276  2 Ni 3.02, 2 Pd 3.13, 1 Th 3.38
3 Th 0.5000 0.8276 0.6589  2 Ni 3.02, 2 Pd 3.13, 1 Th 3.38
4 Th 0.0000 0.1724 0.6589  2 Ni 3.02, 2 Pd 3.13, 1 Th 3.38
5 Th 0.5000 0.1724 0.3411  2 Ni 3.02, 2 Pd 3.13, 1 Th 3.38
6 Th 0.5000 0.6589 0.1724  2 Ni 3.02, 2 Pd 3.13, 1 Th 3.38
7 Th 0.5000 0.3411 0.8276  2 Ni 3.02, 2 Pd 3.13, 1 Th 3.38
8 Th 0.0000 0.3411 0.1724  2 Ni 3.02, 2 Pd 3.13, 1 Th 3.38
9 Ni 0.2500 0.5000 0.5000  2 Ni 2.98, 8 Th 3.02
10 Ni 0.7500 0.5000 0.5000  2 Ni 2.98, 8 Th 3.02
11 Pd 0.2500 0.0000 0.0000  2 Pd 2.98, 8 Th 3.13
12 Pd 0.7500 0.0000 0.0000  2 Pd 2.98, 8 Th 3.13

Results
Symmetry   P4/mcc, No. 124
Size of the total moment   0.0 μB per cell



B) This record from Alexandria describes crystalline Th4NiPd at its relaxed geometry. The functional is PBE.

a b c (Å): 6.6848 6.6848 5.9372
angles (deg): 124.26 124.26 90.00
With the nearest neighbours (Å) after each atom.
Element x y z (fractional)
1 Pd 0.7500 0.2500 0.5000  4 Th 2.93
2 Ni 0.5000 0.5000 0.0000  4 Th 2.78
3 Th 0.6186 0.7027 0.7675  1 Ni 2.78, 1 Pd 2.93
4 Th 0.1488 0.0647 0.7675  1 Ni 2.78, 1 Pd 2.93
5 Th 0.9353 0.3814 0.2325  1 Ni 2.78, 1 Pd 2.93
6 Th 0.2973 0.8512 0.2325  1 Ni 2.78, 1 Pd 2.93

Results
Symmetry   I-4, No. 82
Size of the total moment   0.0 μB per cell



Stability check: which of them is least stable? B).



A) This record from Alexandria describes crystalline Th4NiPd2 at its relaxed geometry. The functional is PBE.

a b c (Å): 5.1546 6.0809 6.0809
angles (deg): 107.78 90.00 90.00
With the nearest neighbours (Å) after each atom.
Element x y z (fractional)
1 Th 0.5000 0.5000 0.0000  2 Ni 3.04, 4 Pd 3.14
2 Th 0.5000 0.0000 0.5000  2 Ni 3.04, 4 Pd 3.14
3 Th 0.0000 0.7348 0.7348  4 Pd 2.97-3.12, 2 Ni 3.08
4 Th 0.0000 0.2652 0.2652  4 Pd 2.97-3.12, 2 Ni 3.08
5 Ni 0.5000 0.5000 0.5000  8 Th 3.04-3.08
6 Pd 0.0000 0.2321 0.7679  8 Th 2.97-3.14
7 Pd 0.0000 0.7679 0.2321  8 Th 2.97-3.14

Results
Symmetry   Cmmm, No. 65
Size of the total moment   0.0 μB per cell



B) This record from Alexandria describes crystalline Th4NiPd2 at its relaxed geometry. The functional is PBE.

a b c (Å): 4.6475 5.9431 7.2103
angles (deg): 105.71 108.80 90.00
With the nearest neighbours (Å) after each atom.
Element x y z (fractional)
1 Th 0.4235 0.7098 0.8470  2 Ni 2.90, 3 Pd 3.03-3.06
2 Th 0.1481 0.7871 0.2962  1 Ni 2.67
3 Th 0.5765 0.2902 0.1530  2 Ni 2.90, 3 Pd 3.03-3.06
4 Th 0.8519 0.2129 0.7038  1 Ni 2.67
5 Pd 0.2250 0.3180 0.4499  7 Th 3.03-3.25, 1 Ni 3.11, 2 Pd 3.11
6 Pd 0.7750 0.6820 0.5501  7 Th 3.03-3.25, 1 Ni 3.11, 2 Pd 3.11
7 Ni 0.0000 0.0000 0.0000  6 Th 2.67-2.90

Results
Symmetry   C2/m, No. 12
Size of the total moment   0.0 μB per cell



Stability check: which of them is least stable? A).